Entry 1:
{"formula": "KNd2PuO8", "functional": "PBE", "state": "optimized geometry", "cell": [[-4.349, 1.964, -3.576], [0.919, -3.166, -2.575], [-4.205, -5.748, 2.160]], "species": ["K", "Nd", "Nd", "Pu", "O", "O", "O", "O", "O", "O", "O", "O"], "frac_coords": [[0.000, 0.000, 0.500], [0.519, 0.363, 0.788], [0.481, 0.637, 0.212], [0.000, 0.000, 0.000], [0.073, 0.644, 0.224], [0.670, 0.796, 0.920], [0.791, 0.139, 0.155], [0.927, 0.356, 0.776], [0.330, 0.204, 0.080], [0.209, 0.861, 0.845], [0.494, 0.823, 0.500], [0.506, 0.177, 0.500]], "crystal_system": "triclinic", "formation_energy_uncorrected_ev_per_atom": -2.4694, "dft_energy_ry_per_atom": -0.577}

---

Entry 2:
{"formula": "Nb2RuN", "functional": "PBE", "state": "optimized geometry", "cell": [[-0.948, -1.465, -2.542], [2.005, -0.627, -2.257], [1.767, -6.680, 1.319]], "species": ["Ru", "Nb", "Nb", "N"], "frac_coords": [[0.500, 0.500, 0.500], [0.272, 0.272, 0.183], [0.728, 0.728, 0.817], [0.000, 0.000, 0.000]], "crystal_system": "trigonal", "formation_energy_uncorrected_ev_per_atom": -0.5041, "dft_energy_ry_per_atom": -0.731}

---

Entry 3:
{"formula": "BeCdRe2", "functional": "PBE", "state": "optimized geometry", "cell": [[-1.767, -1.653, -3.617], [0.942, -2.431, 0.651], [-3.952, -1.958, 2.826]], "species": ["Re", "Re", "Be", "Cd"], "frac_coords": [[0.000, 0.018, 0.023], [0.000, 0.482, 0.477], [0.500, 0.250, 0.250], [0.500, 0.750, 0.750]], "relative_energy_mev_per_atom": 403, "crystal_system": "monoclinic", "dft_energy_ry_per_atom": -0.501, "delta_e_f_mev_per_atom": 563}

---

Entry 4:
{"formula": "RbMg2GaBi", "functional": "PBE", "state": "optimized geometry", "cell": [[5.261, 0.000, 0.000], [0.000, 6.040, 0.000], [0.000, 0.000, 5.261]], "species": ["Mg", "Mg", "Ga", "Bi", "Rb"], "frac_coords": [[0.000, 0.000, 0.500], [0.500, 0.000, 0.000], [0.000, 0.000, 0.000], [0.500, 0.500, 0.500], [0.000, 0.500, 0.000]], "crystal_system": "tetragonal", "dft_energy_ry_per_atom": -0.145, "delta_e_f_mev_per_atom": 240}

---

Entry 5:
{"formula": "HoTaIO4", "functional": "PBE", "state": "optimized geometry", "cell": [[7.159, 1.166, -0.295], [3.472, 6.369, -0.295], [1.833, 1.299, 6.423]], "species": ["Ho", "Ho", "Ta", "Ta", "I", "I", "O", "O", "O", "O", "O", "O", "O", "O"], "frac_coords": [[0.293, 0.293, 0.823], [0.707, 0.707, 0.177], [0.612, 0.612, 0.790], [0.388, 0.388, 0.210], [0.041, 0.041, 0.295], [0.959, 0.959, 0.705], [0.340, 0.340, 0.494], [0.660, 0.660, 0.506], [0.088, 0.546, 0.128], [0.540, 0.540, 0.154], [0.454, 0.912, 0.872], [0.546, 0.088, 0.128], [0.460, 0.460, 0.846], [0.912, 0.454, 0.872]], "crystal_system": "monoclinic", "formation_energy_uncorrected_ev_per_atom": -2.6206, "dft_energy_ry_per_atom": -0.590}

---

Entry 6:
{"formula": "La8Nd2Y", "functional": "PBE", "state": "optimized geometry", "cell": [[-3.266, 1.799, -3.707], [5.155, -2.746, -5.874], [-4.240, -8.087, 3.541]], "species": ["La", "La", "La", "La", "La", "La", "La", "La", "Nd", "Nd", "Y"], "frac_coords": [[0.590, 0.454, 0.181], [0.319, 0.088, 0.638], [0.137, 0.182, 0.274], [0.046, 0.727, 0.093], [0.863, 0.818, 0.726], [0.681, 0.912, 0.362], [0.410, 0.546, 0.819], [0.954, 0.273, 0.907], [0.227, 0.636, 0.453], [0.773, 0.364, 0.547], [0.500, 0.000, 0.000]], "relative_energy_mev_per_atom": 0, "crystal_system": "monoclinic", "dft_energy_ry_per_atom": -0.369, "delta_e_f_mev_per_atom": 13}